Record 1
# CeScGePt PBE-GGA optimized geometry
# space group = No. 216
data_CeScGePt
_chemical_formula_sum 'Ce1 Sc1 Ge1 Pt1'
_cell_length_a 4.938
_cell_length_b 4.938
_cell_length_c 4.938
_cell_angle_alpha 60.00
_cell_angle_beta 60.00
_cell_angle_gamma 60.00
_symmetry_space_group_name_H-M 'P 1'
_symmetry_Int_Tables_number 1
loop_
_symmetry_equiv_pos_as_xyz
'x,y,z'
loop_
_atom_site_label
_atom_site_type_symbol
_atom_site_fract_x
_atom_site_fract_y
_atom_site_fract_z
Ce1 Ce 0.750 0.750 0.750
Sc1 Sc 0.250 0.250 0.250
Ge1 Ge 0.500 0.500 0.500
Pt1 Pt 0.000 0.000 0.000



Record 2
# CeScGe2Pt5 PBE-GGA optimized geometry
# space group = No. 123
data_CeScGe2Pt5
_chemical_formula_sum 'Ce1 Sc1 Ge2 Pt5'
_cell_length_a 4.194
_cell_length_b 4.194
_cell_length_c 9.267
_cell_angle_alpha 90.00
_cell_angle_beta 90.00
_cell_angle_gamma 90.00
_symmetry_space_group_name_H-M 'P 1'
_symmetry_Int_Tables_number 1
loop_
_symmetry_equiv_pos_as_xyz
'x,y,z'
loop_
_atom_site_label
_atom_site_type_symbol
_atom_site_fract_x
_atom_site_fract_y
_atom_site_fract_z
Pt1 Pt 0.500 0.000 0.729
Pt2 Pt 0.500 0.000 0.271
Pt3 Pt 0.500 0.500 0.500
Pt4 Pt 0.000 0.500 0.729
Pt5 Pt 0.000 0.500 0.271
Ge1 Ge 0.500 0.500 0.872
Ge2 Ge 0.500 0.500 0.128
Sc1 Sc 0.000 0.000 0.000
Ce1 Ce 0.000 0.000 0.500



Number 1: energy relative to the elements -792 meV per atom. Number 2: energy relative to the elements -788 meV per atom.